Computed, not measured: CsAc2MnI8 after structural relaxation at the PBE level of DFT.

The space group is P-1 (No. 2) and the conventional cell measures 7.611, 7.918 and 9.970 Å, with angles of 89.95, 89.94 and 85.75 degrees. Symmetry generates all atoms from Cs at (0.000, 0.000, 0.000), Ac at (0.500, 0.500, 0.275), Mn at (0.000, 0.000, 0.500), I at (0.230, 0.840, 0.698), I at (0.231, 0.841, 0.302), I at (0.252, 0.320, 0.500) and I at (0.282, 0.376, 0.000).

The value obtained for the total energy is -44.5 eV for the cell shown. As for the density of states at the Fermi level: 4.612 states/eV/f.u. The total moment comes out at 4.0 μB/cell.



Computed, not measured: Cs2NaAcI6 after structural relaxation at the PBE level of DFT.

The space group is P2_1/c (No. 14) and the conventional cell measures 8.790, 9.195 and 15.331 Å, with angles of 90.00, 124.38 and 90.00 degrees. Symmetry generates all atoms from Cs at (0.226, 0.068, 0.249), Na at (0.000, 0.000, 0.500), Ac at (0.500, 0.000, 0.000), I at (0.158, 0.202, 0.958), I at (0.261, 0.705, 0.960) and I at (0.329, 0.014, 0.748).

The value obtained for the total energy is -63.2 eV for the cell shown. As for the density of states at the Fermi level: 0.000 states/eV/f.u. The total moment comes out at 0.0 μB/cell.



Computed, not measured: CsAcPbI6 after structural relaxation at the PBE level of DFT.

The space group is Imma (No. 74) and the conventional cell measures 11.690, 11.978 and 16.982 Å, with angles of 90.00, 90.00 and 90.00 degrees. Symmetry generates all atoms from Cs at (0.000, 0.250, 0.042), Ac at (0.000, 0.000, 0.500), Pb at (0.250, 0.250, 0.750), I at (0.000, 0.250, 0.420), I at (0.000, 0.250, 0.823) and I at (0.213, 0.053, 0.619).

The value obtained for the total energy is -114.5 eV for the cell shown. As for the density of states at the Fermi level: 0.000 states/eV/f.u. The total moment comes out at 0.0 μB/cell.



Computed, not measured: CsAcPrI6 after structural relaxation at the PBE level of DFT.

The space group is Imma (No. 74) and the conventional cell measures 11.529, 11.736 and 16.497 Å, with angles of 90.00, 90.00 and 90.00 degrees. Symmetry generates all atoms from Cs at (0.000, 0.250, 0.064), Ac at (0.000, 0.000, 0.500), Pr at (0.250, 0.250, 0.750), I at (0.000, 0.250, 0.410), I at (0.000, 0.250, 0.830) and I at (0.221, 0.043, 0.622).

The value obtained for the total energy is -124.1 eV for the cell shown. As for the density of states at the Fermi level: 4.789 states/eV/f.u. The total moment comes out at 3.6 μB/cell.



Computed, not measured: CsRb2AcI6 after structural relaxation at the PBE level of DFT.

The space group is P2_1/c (No. 14) and the conventional cell measures 8.965, 9.696 and 15.607 Å, with angles of 90.00, 123.81 and 90.00 degrees. Symmetry generates all atoms from Cs at (0.000, 0.000, 0.000), Rb at (0.206, 0.087, 0.744), Ac at (0.500, 0.000, 0.500), I at (0.139, 0.174, 0.431), I at (0.254, 0.719, 0.412) and I at (0.427, 0.070, 0.274).

The value obtained for the total energy is -63.2 eV for the cell shown. As for the density of states at the Fermi level: 0.000 states/eV/f.u. The total moment comes out at 0.0 μB/cell.



Computed, not measured: CsAcSeI after structural relaxation at the PBE level of DFT.

The space group is Cm (No. 8) and the conventional cell measures 7.919, 4.581 and 9.620 Å, with angles of 90.00, 105.90 and 90.00 degrees. Symmetry generates all atoms from Cs at (0.000, 0.000, 0.000), Ac at (0.190, 0.000, 0.571), Se at (0.083, 0.500, 0.749) and I at (0.275, 0.500, 0.328).

The value obtained for the total energy is -31.4 eV for the cell shown. As for the density of states at the Fermi level: 2.631 states/eV/f.u. The total moment comes out at 0.0 μB/cell.



Computed, not measured: CsAcSnI6 after structural relaxation at the PBE level of DFT.

The space group is Imma (No. 74) and the conventional cell measures 11.675, 11.902 and 16.863 Å, with angles of 90.00, 90.00 and 90.00 degrees. Symmetry generates all atoms from Cs at (0.000, 0.250, 0.031), Ac at (0.000, 0.000, 0.500), Sn at (0.250, 0.250, 0.750), I at (0.000, 0.250, 0.416), I at (0.000, 0.250, 0.811) and I at (0.216, 0.058, 0.618).

The value obtained for the total energy is -114.0 eV for the cell shown. As for the density of states at the Fermi level: 0.000 states/eV/f.u. The total moment comes out at 0.0 μB/cell.



Computed, not measured: CsAcTeI2 after structural relaxation at the PBE level of DFT.

The space group is P4mm (No. 99) and the conventional cell measures 6.573, 6.573 and 6.359 Å, with angles of 90.00, 90.00 and 90.00 degrees. Symmetry generates all atoms from Cs at (0.000, 0.000, 0.000), Ac at (0.500, 0.500, 0.499), Te at (0.500, 0.500, 0.999) and I at (0.000, 0.500, 0.496).

The value obtained for the total energy is -18.4 eV for the cell shown. As for the density of states at the Fermi level: 0.000 states/eV/f.u. The total moment comes out at 0.0 μB/cell.



Computed, not measured: Cs2AcTlI6 after structural relaxation at the PBE level of DFT.

The space group is P2_1/c (No. 14) and the conventional cell measures 8.936, 9.519 and 15.555 Å, with angles of 90.00, 123.98 and 90.00 degrees. Symmetry generates all atoms from Cs at (0.217, 0.080, 0.247), Ac at (0.500, 0.000, 0.000), Tl at (0.000, 0.000, 0.500), I at (0.152, 0.187, 0.949), I at (0.263, 0.711, 0.944) and I at (0.367, 0.031, 0.758).

The value obtained for the total energy is -62.9 eV for the cell shown. As for the density of states at the Fermi level: 0.000 states/eV/f.u. The total moment comes out at 0.0 μB/cell.



Computed, not measured: CsAc2TlI8 after structural relaxation at the PBE level of DFT.

The space group is P2/m (No. 10) and the conventional cell measures 8.044, 10.114 and 8.411 Å, with angles of 90.00, 93.56 and 90.00 degrees. Symmetry generates all atoms from Cs at (0.000, 0.000, 0.000), Ac at (0.500, 0.255, 0.500), Tl at (0.000, 0.500, 0.000), I at (0.269, 0.500, 0.633), I at (0.275, 0.000, 0.620) and I at (0.279, 0.270, 0.169).

The value obtained for the total energy is -40.3 eV for the cell shown. As for the density of states at the Fermi level: 0.000 states/eV/f.u. The total moment comes out at 0.0 μB/cell.



Computed, not measured: CsAcTl2I6 after structural relaxation at the PBE level of DFT.

The space group is P1 (No. 1) and the conventional cell measures 8.936, 8.945 and 9.491 Å, with angles of 90.02, 118.07 and 119.96 degrees. Symmetry generates all atoms from Cs at (0.000, 0.000, 0.000), Ac at (0.967, 0.483, 0.450), Tl at (0.580, 0.290, 0.869), Tl at (0.607, 0.804, 0.410), I at (0.092, 0.440, 0.184), I at (0.094, 0.234, 0.665), I at (0.430, 0.859, 0.665), I at (0.533, 0.093, 0.184), I at (0.744, 0.651, 0.183) and I at (0.806, 0.572, 0.665).

The value obtained for the total energy is -31.0 eV for the cell shown. As for the density of states at the Fermi level: 0.000 states/eV/f.u. The total moment comes out at 0.0 μB/cell.



Computed, not measured: CsAcIn after structural relaxation at the PBE level of DFT.

The space group is I4mm (No. 107) and the conventional cell measures 4.280, 4.280 and 16.488 Å, with angles of 90.00, 90.00 and 90.00 degrees. Symmetry generates all atoms from Cs at (0.000, 0.000, 0.000), Ac at (0.000, 0.000, 0.261) and In at (0.000, 0.000, 0.666).

The calculation puts the energy relative to the lowest polymorph listed for this composition at 0 meV per atom. The calculation puts the formation energy at 0.00 eV/atom. As for the density of states at the Fermi level: 2.589 states/eV/f.u. The total moment comes out at 0.0 μB/cell.



Computed, not measured: CsAcIn6 after structural relaxation at the PBE level of DFT.

The space group is Pmm2 (No. 25) and the conventional cell measures 5.073, 7.304 and 7.133 Å, with angles of 90.00, 90.00 and 90.00 degrees. Symmetry generates all atoms from Cs at (0.000, 0.000, 0.000), Ac at (0.500, 0.500, 0.221), In at (0.000, 0.279, 0.473), In at (0.000, 0.500, 0.871), In at (0.500, 0.000, 0.401) and In at (0.500, 0.279, 0.733).

The calculation puts the formation energy at -0.16 eV/atom. As for the density of states at the Fermi level: 2.866 states/eV/f.u. The total moment comes out at 0.0 μB/cell.



Computed, not measured: CsAcIn after structural relaxation at the PBE level of DFT.

The space group is P-3m1 (No. 164) and the conventional cell measures 4.6700, 4.6700 and 18.1906 Å, with angles of 90.00, 90.00 and 120.00 degrees. Symmetry generates all atoms from Cs at (0.3333, 0.6667, 0.1296), Ac at (0.3333, 0.6667, 0.6520) and In at (0.3333, 0.6667, 0.4620).

The calculation puts the energy relative to the lowest polymorph listed for this composition at 69 meV per atom. The calculation puts the formation energy at 0.07 eV/atom. As for the density of states at the Fermi level: 3.280 states/eV/f.u. The total moment comes out at 0.9 μB/cell.



Computed, not measured: CsAc2InO5 after structural relaxation at the PBE level of DFT.

The space group is I4/mcm (No. 140) and the conventional cell measures 7.336, 7.336 and 12.504 Å, with angles of 90.00, 90.00 and 90.00 degrees. Symmetry generates all atoms from Cs at (0.000, 0.000, 0.250), Ac at (0.184, 0.316, 0.000), In at (0.000, 0.500, 0.250), O at (0.000, 0.000, 0.000) and O at (0.136, 0.364, 0.374).

The value obtained for the total energy is -233.9 eV for the cell shown. As for the density of states at the Fermi level: 0.000 states/eV/f.u. The total moment comes out at 0.1 μB/cell.



Computed, not measured: Cs4Ac3InO8 after structural relaxation at the PBE level of DFT.

The space group is C2/m (No. 12) and the conventional cell measures 13.197, 7.612 and 8.249 Å, with angles of 90.00, 122.22 and 90.00 degrees. Symmetry generates all atoms from Cs at (0.000, 0.000, 0.000), Cs at (0.000, 0.500, 0.000), Cs at (0.250, 0.250, 0.000), Ac at (0.000, 0.000, 0.500), Ac at (0.250, 0.250, 0.500), In at (0.000, 0.500, 0.500), O at (0.021, 0.265, 0.327), O at (0.216, 0.500, 0.674) and O at (0.224, 0.000, 0.674).

The value obtained for the total energy is -185.5 eV for the cell shown. As for the density of states at the Fermi level: 0.000 states/eV/f.u. The total moment comes out at 0.0 μB/cell.



Computed, not measured: Cs3Ac3InSe8 after structural relaxation at the PBE level of DFT.

The space group is C2/m (No. 12) and the conventional cell measures 15.653, 9.039 and 10.027 Å, with angles of 90.00, 121.35 and 90.00 degrees. Symmetry generates all atoms from Cs at (0.000, 0.000, 0.000), Cs at (0.250, 0.250, 0.000), Ac at (0.000, 0.500, 0.500), Ac at (0.250, 0.250, 0.500), In at (0.000, 0.000, 0.500), Se at (0.015, 0.231, 0.315), Se at (0.214, 0.000, 0.683) and Se at (0.233, 0.500, 0.697).

The value obtained for the total energy is -134.1 eV for the cell shown. As for the density of states at the Fermi level: 25.119 states/eV/f.u. The total moment comes out at 1.3 μB/cell.



Computed, not measured: Cs3Ac3InTe8 after structural relaxation at the PBE level of DFT.

The space group is C2/m (No. 12) and the conventional cell measures 16.533, 9.538 and 10.742 Å, with angles of 90.00, 120.90 and 90.00 degrees. Symmetry generates all atoms from Cs at (0.000, 0.000, 0.000), Cs at (0.250, 0.250, 0.000), Ac at (0.000, 0.500, 0.500), Ac at (0.250, 0.250, 0.500), In at (0.000, 0.000, 0.500), Te at (0.014, 0.232, 0.310), Te at (0.217, 0.000, 0.690) and Te at (0.235, 0.500, 0.704).

The value obtained for the total energy is -120.0 eV for the cell shown. As for the density of states at the Fermi level: 21.283 states/eV/f.u. The total moment comes out at 0.0 μB/cell.



Computed, not measured: CsAcInTe3 after structural relaxation at the PBE level of DFT.

The space group is P2_1/m (No. 11) and the conventional cell measures 10.044, 5.292 and 11.128 Å, with angles of 90.00, 107.31 and 90.00 degrees. Symmetry generates all atoms from Cs at (0.216, 0.250, 0.244), Ac at (0.323, 0.750, 0.862), In at (0.115, 0.250, 0.597), Te at (0.104, 0.250, 0.858), Te at (0.202, 0.750, 0.536) and Te at (0.475, 0.750, 0.165).

The value obtained for the total energy is -46.7 eV for the cell shown. As for the density of states at the Fermi level: 1.721 states/eV/f.u. The total moment comes out at 0.0 μB/cell.